Material: BaLuP2
Method: DFT, GGA-PBE
State: optimized geometry

The calculation puts the formation enthalpy at 0 K at -4.2 eV per formula unit. Its calculated total energy is -0.1976 hartree per atom. The calculated density comes out at 5.7 g/cm³. The value obtained for the density of states at the Fermi level is 0.828 states/eV/atom.

The space group is R-3m (No. 166, hexagonal axes) and the conventional cell measures 4.2208, 4.2208 and 21.2915 Å, with angles of 90.00, 90.00 and 120.00 degrees. Symmetry generates all atoms from Ba at (0.0000, 0.0000, 0.0000), Lu at (0.0000, 0.0000, 0.5000) and P at (0.0000, 0.0000, 0.2325).

=====

Material: BaLuPb2
Method: DFT, GGA-PBE
State: optimized geometry

The calculation puts the formation enthalpy at 0 K at -1.3 eV per formula unit. Its calculated total energy is -0.1397 hartree per atom. The calculated density comes out at 8.3 g/cm³. The value obtained for the density of states at the Fermi level is 1.078 states/eV/atom.

The space group is R-3m (No. 166, hexagonal axes) and the conventional cell measures 5.1173, 5.1173 and 19.3143 Å, with angles of 90.00, 90.00 and 120.00 degrees. Symmetry generates all atoms from Ba at (0.0000, 0.0000, 0.0000), Lu at (0.0000, 0.0000, 0.5000) and Pb at (0.0000, 0.0000, 0.2256).

=====

Material: BaLuPb2
Method: DFT, GGA-PBE
State: optimized geometry

The calculation puts the formation enthalpy at 0 K at -1.7 eV per formula unit. Its calculated total energy is -0.1429 hartree per atom. The calculated density comes out at 9.1 g/cm³. The value obtained for the density of states at the Fermi level is 0.592 states/eV/atom.

The space group is P4/mmm (No. 123) and the conventional cell measures 4.102, 4.102 and 7.845 Å, with angles of 90.00, 90.00 and 90.00 degrees. Symmetry generates all atoms from Ba at (0.000, 0.000, 0.000), Lu at (0.000, 0.000, 0.500) and Pb at (0.500, 0.500, 0.296).

=====

Material: BaLuPb
Method: DFT, GGA-PBE
State: optimized geometry

The calculation puts the formation enthalpy at 0 K at -0.7 eV per formula unit. Its calculated total energy is -0.1334 hartree per atom. The calculated density comes out at 7.4 g/cm³. The value obtained for the density of states at the Fermi level is 0.787 states/eV/atom.

The space group is P-6m2 (No. 187) and the conventional cell measures 5.2293, 5.2293 and 4.8927 Å, with angles of 90.00, 90.00 and 120.00 degrees. Symmetry generates all atoms from Ba at (0.0000, 0.0000, 0.0000), Lu at (0.6667, 0.3333, 0.5000) and Pb at (0.3333, 0.6667, 0.5000).

=====

Material: BaLuPb2
Method: DFT, GGA-PBE
State: optimized geometry

The calculation puts the formation enthalpy at 0 K at -1.1 eV per formula unit. Its calculated total energy is -0.1374 hartree per atom. The calculated density comes out at 9.1 g/cm³. The value obtained for the density of states at the Fermi level is 0.903 states/eV/atom.

The space group is P4/mmm (No. 123) and the conventional cell measures 5.318, 5.318 and 4.699 Å, with angles of 90.00, 90.00 and 90.00 degrees. Symmetry generates all atoms from Ba at (0.000, 0.000, 0.000), Lu at (0.500, 0.500, 0.000) and Pb at (0.000, 0.500, 0.500).

=====

Material: BaLuPd2
Method: DFT, GGA-PBE
State: optimized geometry

The calculation puts the formation enthalpy at 0 K at -2.9 eV per formula unit. The calculation puts the relative energy among the computed polymorphs at 0 meV/atom. Its calculated total energy is -0.1810 hartree per atom. The calculated density comes out at 8.9 g/cm³. The value obtained for the density of states at the Fermi level is 0.514 states/eV/atom.

The space group is P4/mmm (No. 123) and the conventional cell measures 3.583, 3.583 and 7.649 Å, with angles of 90.00, 90.00 and 90.00 degrees. Symmetry generates all atoms from Ba at (0.000, 0.000, 0.000), Lu at (0.000, 0.000, 0.500) and Pd at (0.500, 0.500, 0.307).